Record 1
## KSm2PuTe4 (PBE-GGA)

Data for crystalline KSm2PuTe4 at its relaxed geometry.

Values from the calculation:
Symmetry = P2/m, No. 10
Uncorrected formation energy = -1.284 eV per atom

a b c (Å): 4.481 7.960 7.878
angles (deg): 71.28 90.00 90.00
Site moments in Bohr magnetons follow the coordinates.
Atoms (fractional coordinates):
Te (0.000, 0.234, 0.263)  -0.02
Te (0.500, 0.756, 0.255)  -0.03
Te (0.000, 0.766, 0.737)  -0.02
Te (0.500, 0.244, 0.745)  -0.03
K (0.500, 0.500, 0.000)  0.00
Pu (0.000, 0.500, 0.500)  5.60
Sm (0.000, 0.000, 0.000)  0.05
Sm (0.500, 0.000, 0.500)  0.05

=====

Record 2
## KSm3Pu2Te6 (PBE-GGA)

Data for crystalline KSm3Pu2Te6 at its relaxed geometry.

Values from the calculation:
Symmetry = C2/m, No. 12
Uncorrected formation energy = -1.270 eV per atom

a b c (Å): 4.458 9.114 10.101
angles (deg): 103.46 102.75 90.00
Site moments in Bohr magnetons follow the coordinates.
Atoms (fractional coordinates):
Sm (0.500, 0.500, 0.000)  0.05
Sm (0.164, 0.829, 0.329)  0.05
Sm (0.836, 0.171, 0.671)  0.05
Te (0.999, 0.737, 0.997)  -0.02
Te (0.334, 0.419, 0.667)  -0.04
Te (0.672, 0.085, 0.344)  -0.03
Te (0.328, 0.915, 0.656)  -0.03
Te (0.001, 0.263, 0.003)  -0.02
Te (0.666, 0.581, 0.333)  -0.04
Pu (0.168, 0.335, 0.336)  5.59
Pu (0.832, 0.665, 0.664)  5.59
K (0.500, 0.000, 0.000)  0.00

=====

Record 3
## KSm2Pu3Te6 (PBE-GGA)

Data for crystalline KSm2Pu3Te6 at its relaxed geometry.

Values from the calculation:
Symmetry = C2/m, No. 12
Uncorrected formation energy = -1.201 eV per atom

a b c (Å): 4.465 9.105 10.056
angles (deg): 102.69 102.83 90.00
Site moments in Bohr magnetons follow the coordinates.
Atoms (fractional coordinates):
Te (0.997, 0.734, 0.995)  -0.07
Te (0.003, 0.266, 0.005)  -0.07
Te (0.334, 0.414, 0.668)  -0.04
Te (0.327, 0.910, 0.654)  -0.05
Te (0.666, 0.586, 0.332)  -0.04
Te (0.673, 0.090, 0.346)  -0.05
Pu (0.163, 0.834, 0.327)  5.57
Pu (0.837, 0.166, 0.673)  5.57
Pu (0.500, 0.500, 0.000)  5.47
Sm (0.832, 0.662, 0.664)  0.10
Sm (0.168, 0.338, 0.336)  0.10
K (0.500, 0.000, 0.000)  0.00

=====

Record 4
## KSmPu2Te4 (PBE-GGA)

Data for crystalline KSmPu2Te4 at its relaxed geometry.

Values from the calculation:
Symmetry = P2/m, No. 10
Uncorrected formation energy = -1.177 eV per atom

a b c (Å): 4.496 7.865 7.939
angles (deg): 71.30 90.00 90.00
Site moments in Bohr magnetons follow the coordinates.
Atoms (fractional coordinates):
Sm (0.500, 0.500, 0.000)  -0.13
Te (0.000, 0.244, 0.243)  0.06
Te (0.500, 0.765, 0.233)  0.07
Te (0.000, 0.756, 0.757)  0.06
Te (0.500, 0.235, 0.767)  0.07
Pu (0.500, 0.000, 0.500)  -5.60
Pu (0.000, 0.000, 0.000)  -5.43
K (0.000, 0.500, 0.500)  0.00

=====

Which of these has the lowest uncorrected formation energy?
KSm2PuTe4

=====

Among the records above, which one has the highest uncorrected formation energy?
KSmPu2Te4

=====

Which formula does entry 1 have?
KSm2PuTe4

=====

Among the records above, which one has the highest uncorrected formation energy?
KSmPu2Te4